! Ba3TlIn (SCAN, single point on PBEsol structure); values from VASP
&SYSTEM
  ibrav = 0, nat = 5, ntyp = 3
/
ATOMIC_SPECIES
Ba 137.33 Ba.upf
Tl 204.38 Tl.upf
In 114.82 In.upf
CELL_PARAMETERS angstrom
6.4953 0.0000 0.0000
0.0000 6.4953 0.0000
0.0000 0.0000 6.4953
ATOMIC_POSITIONS crystal
Ba 0.0000 0.0000 0.5000
Ba 0.0000 0.5000 0.0000
Ba 0.5000 0.0000 0.0000
Tl 0.0000 0.0000 0.0000
In 0.5000 0.5000 0.5000
! Total energy   -44.951 eV/atom
! D(E_F)   0.86 states/eV/atom
! Space-group type   Pm-3m
! ΔE_f   -72 meV per atom

! Mg2AlFe (SCAN, single point on PBEsol structure); values from VASP
&SYSTEM
  ibrav = 0, nat = 4, ntyp = 3
/
ATOMIC_SPECIES
Mg 24.30 Mg.upf
Al 26.98 Al.upf
Fe 55.84 Fe.upf
CELL_PARAMETERS angstrom
0.0000 3.1570 3.1570
3.1570 0.0000 3.1570
3.1570 3.1570 0.0000
ATOMIC_POSITIONS crystal
Mg 0.0000 0.0000 0.0000
Mg 0.2500 0.2500 0.2500
Al 0.5000 0.5000 0.5000
Fe 0.7500 0.7500 0.7500
! Total energy   -8.846 eV/atom
! D(E_F)   0.54 states/eV/atom
! Space-group type   F-43m
! ΔE_f   111 meV per atom